AcPu6N8 | Alexandria via LeMat-Bulk | PBE | optimized geometry; total moment = 26.708 μB per formula unit; DOS at the Fermi energy = 2.0205 states/eV per atom; mass density = 12.3 Mg/m³; SG = P-3 (147); formation energy without anion corrections = -1.016 eV per atom
1.0
8.957 0.000 0.000
-4.478 7.757 0.000
0.000 0.000 3.501
Ac Pu N
1 6 8
direct
0.000 0.000 0.000
0.144 0.701 0.733
0.299 0.444 0.733
0.444 0.144 0.267
0.556 0.856 0.733
0.701 0.556 0.267
0.856 0.299 0.267
0.020 0.312 0.764
0.291 0.980 0.764
0.312 0.291 0.236
0.333 0.667 0.240
0.667 0.333 0.760
0.688 0.709 0.764
0.709 0.020 0.236
0.980 0.688 0.236

***

CaNdCuRh | Alexandria via LeMat-Bulk | PBE | optimized geometry; total moment = 0.000 μB per formula unit; DOS at the Fermi energy = 0.5397 states/eV per atom; total DFT energy (no corrections) = -4.89 eV/atom; mass density = 6.7 Mg/m³; SG = F-43m (216)
1.0
0.000 3.525 3.525
3.525 0.000 3.525
3.525 3.525 0.000
Ca Nd Cu Rh
1 1 1 1
direct
0.000 0.000 0.000
0.500 0.500 0.500
0.250 0.250 0.250
0.750 0.750 0.750

***

LaPrNdIn | Alexandria via LeMat-Bulk | PBE | optimized geometry; total moment = 0.000 μB per formula unit; DOS at the Fermi energy = 1.3792 states/eV per atom; total DFT energy (no corrections) = -4.56 eV/atom; mass density = 7.1 Mg/m³; SG = I-4m2 (119)
1.0
-2.473 2.473 5.175
2.473 -2.473 5.175
2.473 2.473 -5.175
La Pr Nd In
1 1 1 1
direct
0.000 0.000 0.000
0.250 0.750 0.500
0.750 0.250 0.500
0.500 0.500 0.000

***

AcTb6Ho3Tm2 | Alexandria via LeMat-Bulk | PBE | optimized geometry; total moment = 0.000 μB per formula unit; DOS at the Fermi energy = 1.2919 states/eV per atom; total DFT energy (no corrections) = -4.51 eV/atom; mass density = 8.6 Mg/m³; SG = C2/m (12)
1.0
3.093 -5.355 0.000
3.093 5.355 0.000
-2.059 0.000 11.675
Ac Tb Ho Tm
1 6 3 2
direct
0.000 0.000 0.000
0.085 0.422 0.254
0.252 0.252 0.746
0.422 0.085 0.254
0.578 0.915 0.746
0.748 0.748 0.254
0.915 0.578 0.746
0.167 0.833 0.500
0.500 0.500 0.500
0.833 0.167 0.500
0.333 0.667 0.000
0.667 0.333 0.000

***

Ga2SnSe | Alexandria via LeMat-Bulk | PBE | optimized geometry; total moment = 0.000 μB per formula unit; DOS at the Fermi energy = 0.5429 states/eV per atom; mass density = 6.0 Mg/m³; SG = R3m (160); formation energy without anion corrections = -0.106 eV per atom
1.0
1.884 1.088 7.547
-1.884 1.088 7.547
0.000 -2.176 7.547
Ga Sn Se
2 1 1
direct
0.000 0.000 0.000
0.185 0.185 0.185
0.425 0.425 0.425
0.596 0.596 0.596

***

Be2PdPt2 | Alexandria via LeMat-Bulk | PBE | optimized geometry; total moment = 0.000 μB per formula unit; DOS at the Fermi energy = 0.2370 states/eV per atom; total DFT energy (no corrections) = -5.56 eV/atom; mass density = 13.5 Mg/m³; SG = Cmmm (65)
1.0
1.390 -8.082 0.000
1.390 8.082 0.000
0.000 0.000 2.817
Be Pd Pt
2 1 2
direct
0.096 0.904 0.000
0.904 0.096 0.000
0.500 0.500 0.500
0.325 0.675 0.500
0.675 0.325 0.500

***

Nd4CoTe | Alexandria via LeMat-Bulk | PBE | optimized geometry; total moment = 0.000 μB per formula unit; DOS at the Fermi energy = 1.0459 states/eV per atom; mass density = 5.4 Mg/m³; SG = C2/m (12); formation energy without anion corrections = -0.272 eV per atom
1.0
9.653 -2.746 0.000
9.653 2.746 0.000
-4.129 0.000 8.926
Nd Co Te
8 2 2
direct
0.028 0.028 0.204
0.194 0.194 0.898
0.248 0.248 0.323
0.394 0.394 0.967
0.606 0.606 0.033
0.752 0.752 0.677
0.806 0.806 0.102
0.972 0.972 0.796
0.114 0.114 0.060
0.886 0.886 0.940
0.165 0.165 0.549
0.835 0.835 0.451

***

Sr3NbRh | Alexandria via LeMat-Bulk | PBE | optimized geometry; total moment = 1.996 μB per formula unit; DOS at the Fermi energy = 2.3552 states/eV per atom; total DFT energy (no corrections) = -3.13 eV/atom; mass density = 4.1 Mg/m³; SG = Pm-3m (221)
1.0
5.712 0.000 0.000
0.000 5.712 0.000
0.000 0.000 5.712
Sr Nb Rh
3 1 1
direct
0.000 0.000 0.500
0.000 0.500 0.000
0.500 0.000 0.000
0.000 0.000 0.000
0.500 0.500 0.500

***

SrEu2Ag | Alexandria via LeMat-Bulk | PBE | optimized geometry; total moment = 15.044 μB per formula unit; DOS at the Fermi energy = 4.2867 states/eV per atom; total DFT energy (no corrections) = -6.21 eV/atom; mass density = 4.8 Mg/m³; SG = R-3m (166)
1.0
2.055 1.187 11.737
-2.055 1.187 11.737
0.000 -2.373 11.737
Sr Eu Ag
1 2 1
direct
0.000 0.000 0.000
0.109 0.109 0.109
0.891 0.891 0.891
0.500 0.500 0.500

***

PrBN2 | Alexandria via LeMat-Bulk | PBE | optimized geometry; total moment = 0.000 μB per formula unit; DOS at the Fermi energy = 0.0000 states/eV per atom; mass density = 5.9 Mg/m³; SG = R-3c (167); formation energy without anion corrections = -1.316 eV per atom
1.0
6.117 3.532 2.356
-6.117 3.532 2.356
0.000 -7.063 2.356
Pr B N
6 6 12
direct
0.204 0.750 0.296
0.250 0.704 0.796
0.296 0.204 0.750
0.704 0.796 0.250
0.750 0.296 0.204
0.796 0.250 0.704
0.131 0.250 0.369
0.250 0.369 0.131
0.369 0.131 0.250
0.631 0.869 0.750
0.750 0.631 0.869
0.869 0.750 0.631
0.010 0.250 0.490
0.128 0.372 0.250
0.250 0.128 0.372
0.250 0.490 0.010
0.372 0.250 0.128
0.490 0.010 0.250
0.510 0.990 0.750
0.628 0.750 0.872
0.750 0.510 0.990
0.750 0.872 0.628
0.872 0.628 0.750
0.990 0.750 0.510

***

Nd6DyY | Alexandria via LeMat-Bulk | PBE | optimized geometry; total moment = 0.000 μB per formula unit; DOS at the Fermi energy = 1.6701 states/eV per atom; total DFT energy (no corrections) = -4.95 eV/atom; mass density = 6.7 Mg/m³; SG = P4/mmm (123)
1.0
5.162 0.000 0.000
0.000 5.162 0.000
0.000 0.000 10.324
Nd Dy Y
6 1 1
direct
0.000 0.000 0.000
0.000 0.000 0.500
0.000 0.500 0.249
0.000 0.500 0.751
0.500 0.000 0.249
0.500 0.000 0.751
0.500 0.500 0.000
0.500 0.500 0.500

***

NaPmHg2 | Alexandria via LeMat-Bulk | PBE | optimized geometry; total moment = 0.000 μB per formula unit; DOS at the Fermi energy = 0.4600 states/eV per atom; total DFT energy (no corrections) = -2.04 eV/atom; mass density = 9.2 Mg/m³; SG = Fm-3m (225)
1.0
0.000 3.716 3.716
3.716 0.000 3.716
3.716 3.716 0.000
Na Pm Hg
1 1 2
direct
0.000 0.000 0.000
0.500 0.500 0.500
0.250 0.250 0.250
0.750 0.750 0.750